Entry 1:
! TbTcW | OQMD | GGA-PBE | relaxed; values from VASP
! Calculated formation energy (kcal/mol of atoms): 17.251
&SYSTEM
  ibrav = 0, nat = 3, ntyp = 3
/
ATOMIC_SPECIES
Tb 158.93 Tb.upf
Tc 98.00 Tc.upf
W 183.84 W.upf
ATOMIC_POSITIONS angstrom
Tb 1.585 1.585 1.585
Tc 4.754 4.754 4.754
W 0.000 0.000 0.000
CELL_PARAMETERS angstrom
0.000 3.169 3.169
3.169 0.000 3.169
3.169 3.169 0.000



Entry 2:
! ZrCoCuPb | OQMD | GGA-PBE | relaxed; values from VASP
! Energy relative to the lowest polymorph listed for this composition (eV/atom): 0.2374
&SYSTEM
  ibrav = 0, nat = 4, ntyp = 4
/
ATOMIC_SPECIES
Co 58.93 Co.upf
Cu 63.55 Cu.upf
Pb 207.20 Pb.upf
Zr 91.22 Zr.upf
ATOMIC_POSITIONS angstrom
Co -5.306 0.568 1.781
Cu -7.959 0.853 2.672
Pb -2.653 0.284 0.891
Zr 0.000 0.000 0.000
CELL_PARAMETERS angstrom
-2.665 0.768 3.662
-3.864 2.445 -0.444
-4.084 -2.076 0.344



Entry 3:
! RbSmMg | OQMD | GGA-PBE | relaxed; values from VASP
! Total DFT energy (no corrections) (eV per cell): -5.00
&SYSTEM
  ibrav = 0, nat = 3, ntyp = 3
/
ATOMIC_SPECIES
Mg 24.30 Mg.upf
Rb 85.47 Rb.upf
Sm 150.36 Sm.upf
ATOMIC_POSITIONS angstrom
Mg 0.000 0.000 0.000
Rb 2.065 2.065 2.065
Sm 6.196 6.196 6.196
CELL_PARAMETERS angstrom
0.000 4.131 4.131
4.131 0.000 4.131
4.131 4.131 0.000



Entry 4:
! Tb2CdIr2 | OQMD | GGA-PBE | relaxed; values from VASP
! Calculated formation energy (kcal/mol of atoms): -15.506
&SYSTEM
  ibrav = 0, nat = 10, ntyp = 3
/
ATOMIC_SPECIES
Cd 112.41 Cd.upf
Ir 192.22 Ir.upf
Tb 158.93 Tb.upf
ATOMIC_POSITIONS angstrom
Cd -3.989 1.693 -2.823
Cd -6.681 0.027 1.738
Ir -3.585 4.224 -3.875
Ir -4.393 -0.853 -1.808
Ir -6.278 2.572 0.722
Ir -7.086 -2.504 2.790
Tb -4.352 4.493 -1.057
Tb -3.804 0.961 0.420
Tb -6.867 0.758 -1.506
Tb -6.319 -2.773 -0.028
CELL_PARAMETERS angstrom
-2.851 4.961 0.794
-2.674 2.887 -4.229
-5.145 -6.129 2.349



Entry 5:
! GdScBr2N | OQMD | GGA-PBE | relaxed; values from VASP
! Total DFT energy (no corrections) (eV per cell): -31.07
&SYSTEM
  ibrav = 0, nat = 5, ntyp = 4
/
ATOMIC_SPECIES
Br 79.90 Br.upf
Gd 157.25 Gd.upf
N 14.01 N.upf
Sc 44.96 Sc.upf
ATOMIC_POSITIONS angstrom
Br 1.785 1.030 1.855
Br 0.000 2.061 8.156
Gd 0.000 2.061 3.868
N 0.000 0.000 5.234
Sc 1.785 1.030 6.352
CELL_PARAMETERS angstrom
3.570 0.000 0.000
-1.785 3.091 0.000
0.000 0.000 10.187



Entry 6:
! Sc2Nb4Al3N3 | OQMD | GGA-PBE | relaxed; values from VASP
! Total DFT energy (no corrections) (eV per cell): -199.53
&SYSTEM
  ibrav = 0, nat = 24, ntyp = 4
/
ATOMIC_SPECIES
Al 26.98 Al.upf
N 14.01 N.upf
Nb 92.91 Nb.upf
Sc 44.96 Sc.upf
ATOMIC_POSITIONS angstrom
Al 1.838 0.754 3.456
Al 3.928 2.583 3.459
Al 6.018 0.754 3.461
Al 0.256 -0.754 10.374
Al 2.346 -2.583 10.377
Al 4.436 -0.754 10.379
N 2.359 -1.366 0.000
N 5.466 -1.298 0.000
N 3.972 1.298 0.000
N 3.884 1.298 6.918
N 0.777 1.366 6.918
N 2.390 -1.298 6.918
Nb 7.077 -0.454 1.140
Nb 0.787 -0.456 1.140
Nb 7.069 -0.456 5.778
Nb 0.779 -0.454 5.778
Nb 5.495 0.454 8.057
Nb -0.795 0.456 8.057
Nb 5.487 0.456 12.696
Nb -0.803 0.454 12.696
Sc 3.951 -0.446 1.398
Sc 3.905 -0.446 5.520
Sc 2.369 0.446 8.316
Sc 2.323 0.446 12.438
CELL_PARAMETERS angstrom
4.719 -2.733 0.000
4.719 2.733 0.000
-3.164 0.000 13.836



Entry 7:
! ThMg | OQMD | GGA-PBE | relaxed; values from VASP
! Total DFT energy (no corrections) (eV per cell): -70.06
&SYSTEM
  ibrav = 0, nat = 16, ntyp = 2
/
ATOMIC_SPECIES
Mg 24.30 Mg.upf
Th 232.04 Th.upf
ATOMIC_POSITIONS angstrom
Mg 3.629 1.543 0.000
Mg 3.629 8.327 0.000
Mg 6.092 10.016 0.000
Mg 6.092 13.012 0.000
Mg 5.219 1.747 2.607
Mg 2.757 3.437 2.607
Mg 2.757 6.432 2.607
Mg 5.219 8.122 2.607
Th 0.601 2.971 0.000
Th 4.147 4.935 0.000
Th 0.601 6.898 0.000
Th 2.585 11.514 0.000
Th 1.611 0.319 2.607
Th 6.264 4.935 2.607
Th 1.611 9.551 2.607
Th 4.702 11.514 2.607
CELL_PARAMETERS angstrom
6.636 0.000 0.000
0.000 13.159 0.000
0.000 0.000 5.213



Entry 8:
! Co2BAs | OQMD | GGA-PBE | relaxed; values from VASP
! Energy relative to the lowest polymorph listed for this composition (eV/atom): 0.1215
&SYSTEM
  ibrav = 0, nat = 8, ntyp = 3
/
ATOMIC_SPECIES
As 74.92 As.upf
B 10.81 B.upf
Co 58.93 Co.upf
ATOMIC_POSITIONS angstrom
As 0.000 2.972 0.350
As 1.445 2.106 3.277
B 0.000 0.230 2.477
B 1.445 4.847 5.404
Co 1.445 1.161 1.173
Co 1.445 3.904 1.855
Co 0.000 3.917 4.101
Co 0.000 1.173 4.783
CELL_PARAMETERS angstrom
2.890 0.000 0.000
0.000 5.077 0.000
0.000 0.000 5.855



Entry 9:
! LuBiPO | OQMD | GGA-PBE | relaxed; values from VASP
! Energy relative to the lowest polymorph listed for this composition (eV/atom): 0.0681
&SYSTEM
  ibrav = 0, nat = 8, ntyp = 4
/
ATOMIC_SPECIES
Bi 208.98 Bi.upf
Lu 174.97 Lu.upf
O 16.00 O.upf
P 30.97 P.upf
ATOMIC_POSITIONS angstrom
Bi 0.000 0.000 4.672
Bi 2.112 2.112 4.672
Lu 0.000 2.112 0.759
Lu 2.112 0.000 8.586
O 0.000 0.000 0.000
O 2.112 2.112 0.000
P 2.112 0.000 2.421
P 0.000 2.112 6.924
CELL_PARAMETERS angstrom
4.225 0.000 0.000
0.000 4.225 0.000
0.000 0.000 9.345



Entry 10:
! ScTa2Pd | OQMD | GGA-PBE | relaxed; values from VASP
! Calculated formation energy (kcal/mol of atoms): -1.427
&SYSTEM
  ibrav = 0, nat = 4, ntyp = 3
/
ATOMIC_SPECIES
Pd 106.42 Pd.upf
Sc 44.96 Sc.upf
Ta 180.95 Ta.upf
ATOMIC_POSITIONS angstrom
Pd 0.000 0.000 2.848
Sc 0.000 0.000 0.000
Ta 0.000 0.000 5.695
Ta 0.000 0.000 8.543
CELL_PARAMETERS angstrom
2.325 1.342 3.797
-2.325 1.342 3.797
0.000 -2.685 3.797



Entry 11:
! Lu4InPbN2 | OQMD | GGA-PBE | relaxed; values from VASP
! Total DFT energy (no corrections) (eV per cell): -50.01
&SYSTEM
  ibrav = 0, nat = 8, ntyp = 4
/
ATOMIC_SPECIES
In 114.82 In.upf
Lu 174.97 Lu.upf
N 14.01 N.upf
Pb 207.20 Pb.upf
ATOMIC_POSITIONS angstrom
In 1.723 0.995 0.000
Lu 0.000 0.000 2.526
Lu 1.723 0.995 5.074
Lu 1.723 0.995 10.190
Lu 0.000 0.000 12.738
N 0.000 1.990 3.833
N 0.000 1.990 11.431
Pb 0.000 0.000 7.632
CELL_PARAMETERS angstrom
3.447 0.000 0.000
-1.723 2.985 0.000
0.000 0.000 15.264



Entry 12:
! CuHgSbPd | OQMD | GGA-PBE | relaxed; values from VASP
! Energy relative to the lowest polymorph listed for this composition (eV/atom): 0.0000
&SYSTEM
  ibrav = 0, nat = 4, ntyp = 4
/
ATOMIC_SPECIES
Cu 63.55 Cu.upf
Hg 200.59 Hg.upf
Pd 106.42 Pd.upf
Sb 121.76 Sb.upf
ATOMIC_POSITIONS angstrom
Cu -4.338 -5.626 4.962
Hg -2.892 -3.751 3.308
Pd -1.446 -1.875 1.654
Sb 0.000 0.000 0.000
CELL_PARAMETERS angstrom
-1.838 -0.740 4.281
-4.013 -2.436 0.455
0.067 -4.326 1.880



Entry 13:
! W4C3S | OQMD | GGA-PBE | relaxed; values from VASP
! Total DFT energy (no corrections) (eV per cell): -163.57
&SYSTEM
  ibrav = 0, nat = 16, ntyp = 3
/
ATOMIC_SPECIES
C 12.01 C.upf
S 32.06 S.upf
W 183.84 W.upf
ATOMIC_POSITIONS angstrom
C 0.000 0.000 0.000
C -2.093 -1.987 1.264
C -2.717 -6.888 4.446
C -1.169 -9.178 5.959
C -2.333 -12.105 5.956
C -2.957 -17.007 9.138
S -1.476 -5.378 1.588
S -3.574 -13.615 8.814
W -1.032 -1.892 -0.675
W -0.375 -2.945 1.912
W -0.794 -6.232 4.046
W -1.920 -8.865 3.852
W -3.130 -10.129 6.550
W -1.544 -12.123 7.871
W -1.963 -15.410 10.005
W -4.018 -17.102 11.077
CELL_PARAMETERS angstrom
-2.750 1.092 1.142
0.038 -1.730 -2.658
-2.338 -18.355 11.917



Entry 14:
! HfSc2Au | OQMD | GGA-PBE | relaxed; values from VASP
! Calculated formation energy (kcal/mol of atoms): -2.508
&SYSTEM
  ibrav = 0, nat = 4, ntyp = 3
/
ATOMIC_SPECIES
Au 196.97 Au.upf
Hf 178.49 Hf.upf
Sc 44.96 Sc.upf
ATOMIC_POSITIONS angstrom
Au -5.799 -5.661 3.744
Hf -3.866 -3.774 2.496
Sc 0.000 0.000 0.000
Sc -1.933 -1.887 1.248
CELL_PARAMETERS angstrom
-0.489 -3.689 3.125
-3.997 -0.349 2.741
-3.245 -3.509 -0.873



Entry 15:
! TlGaAgAu | OQMD | GGA-PBE | relaxed; values from VASP
! Energy relative to the lowest polymorph listed for this composition (eV/atom): 0.0000
&SYSTEM
  ibrav = 0, nat = 4, ntyp = 4
/
ATOMIC_SPECIES
Ag 107.87 Ag.upf
Au 196.97 Au.upf
Ga 69.72 Ga.upf
Tl 204.38 Tl.upf
ATOMIC_POSITIONS angstrom
Ag 3.484 3.484 3.484
Au 5.226 5.226 5.226
Ga 0.000 0.000 0.000
Tl 1.742 1.742 1.742
CELL_PARAMETERS angstrom
0.000 3.484 3.484
3.484 0.000 3.484
3.484 3.484 0.000



Entry 16:
! Cs2Rb2Ge2Au7 | OQMD | GGA-PBE | relaxed; values from VASP
! Energy relative to the lowest polymorph listed for this composition (eV/atom): 0.0000
&SYSTEM
  ibrav = 0, nat = 13, ntyp = 4
/
ATOMIC_SPECIES
Au 196.97 Au.upf
Cs 132.91 Cs.upf
Ge 72.64 Ge.upf
Rb 85.47 Rb.upf
ATOMIC_POSITIONS angstrom
Au 0.000 0.000 0.000
Au -6.006 7.961 14.133
Au -3.398 4.135 10.967
Au -4.163 7.259 8.882
Au -2.459 7.362 15.457
Au -3.224 10.486 13.372
Au -0.616 6.661 10.207
Cs -1.250 2.761 4.596
Cs -5.372 11.860 19.744
Ge -2.998 6.620 11.020
Ge -3.624 8.002 13.320
Rb -2.096 4.628 7.705
Rb -4.526 9.993 16.635
CELL_PARAMETERS angstrom
-4.728 7.050 6.120
-3.386 1.572 9.776
1.491 6.000 8.443



Entry 17:
! BeGaFePd | OQMD | GGA-PBE | relaxed; values from VASP
! Energy relative to the lowest polymorph listed for this composition (eV/atom): 0.0000
&SYSTEM
  ibrav = 0, nat = 4, ntyp = 4
/
ATOMIC_SPECIES
Be 9.01 Be.upf
Fe 55.84 Fe.upf
Ga 69.72 Ga.upf
Pd 106.42 Pd.upf
ATOMIC_POSITIONS angstrom
Be -0.047 -4.970 0.462
Fe -0.070 -7.455 0.693
Ga 0.000 0.000 0.000
Pd -0.023 -2.485 0.231
CELL_PARAMETERS angstrom
0.412 -3.103 2.609
-2.254 -3.364 -0.463
1.749 -3.472 -1.223



Entry 18:
! LuSc2Bi | OQMD | GGA-PBE | relaxed; values from VASP
! Total DFT energy (no corrections) (eV per cell): -21.61
&SYSTEM
  ibrav = 0, nat = 4, ntyp = 3
/
ATOMIC_SPECIES
Bi 208.98 Bi.upf
Lu 174.97 Lu.upf
Sc 44.96 Sc.upf
ATOMIC_POSITIONS angstrom
Bi 3.689 3.689 3.689
Lu 1.844 1.844 1.844
Sc 0.000 0.000 0.000
Sc 5.533 5.533 5.533
CELL_PARAMETERS angstrom
0.000 3.689 3.689
3.689 0.000 3.689
3.689 3.689 0.000



Entry 19:
! Co8Re7 | OQMD | GGA-PBE | relaxed; values from VASP
! Calculated formation energy (kcal/mol of atoms): 3.643
! Energy relative to the lowest polymorph listed for this composition (eV/atom): 0.0410
&SYSTEM
  ibrav = 0, nat = 30, ntyp = 2
/
ATOMIC_SPECIES
Co 58.93 Co.upf
Re 186.21 Re.upf
ATOMIC_POSITIONS angstrom
Co 4.184 1.170 0.000
Co 1.170 4.184 0.000
Co 7.879 4.864 0.000
Co 4.864 7.879 0.000
Co 6.147 2.902 1.156
Co 2.902 6.147 1.156
Co 1.623 1.623 1.172
Co 7.426 7.426 1.172
Co 5.694 0.340 2.328
Co 8.708 3.355 2.328
Co 0.340 5.694 2.328
Co 3.355 8.708 2.328
Co 1.623 1.623 3.484
Co 7.426 7.426 3.484
Co 6.147 2.902 3.500
Co 2.902 6.147 3.500
Re 0.000 0.000 0.000
Re 6.561 0.616 0.000
Re 8.432 2.487 0.000
Re 3.587 3.587 0.000
Re 5.461 5.461 0.000
Re 0.616 6.561 0.000
Re 2.487 8.432 0.000
Re 8.112 0.937 2.328
Re 3.908 2.037 2.328
Re 2.037 3.908 2.328
Re 4.524 4.524 2.328
Re 7.011 5.140 2.328
Re 5.140 7.011 2.328
Re 0.937 8.112 2.328
CELL_PARAMETERS angstrom
9.048 0.000 0.000
0.000 9.048 0.000
0.000 0.000 4.656



Entry 20:
! Er8Os | OQMD | GGA-PBE | relaxed; values from VASP
! Calculated formation energy (kcal/mol of atoms): -1.561
&SYSTEM
  ibrav = 0, nat = 9, ntyp = 2
/
ATOMIC_SPECIES
Er 167.26 Er.upf
Os 190.23 Os.upf
ATOMIC_POSITIONS angstrom
Er -1.476 3.372 -4.243
Er -2.355 -0.972 -2.168
Er -2.478 -5.004 0.603
Er -1.854 2.073 -0.605
Er -2.244 -1.191 1.283
Er -4.167 1.684 -3.144
Er -4.699 -2.771 -0.567
Er -6.047 -1.209 -3.341
Os 0.000 0.000 0.000
CELL_PARAMETERS angstrom
-2.355 5.380 -6.769
-3.954 -7.985 0.961
-2.557 1.519 2.097